# 1
First-principles (GGA-PBEsol) data for a relaxed structure of ReAgBr, as listed in Alexandria via LeMat-Bulk.

Cell lengths 2.9000, 5.2103, 14.1616 Å; angles 90.00, 90.00, 90.00 degrees
Positions (direct):
Re: 0.0000 0.0000 0.0000
Re: 0.0000 0.5000 0.5000
Re: 0.5000 0.0000 0.5000
Re: 0.5000 0.5000 0.0000
Ag: 0.0000 0.0000 0.3360
Ag: 0.0000 0.5000 0.8360
Ag: 0.5000 0.0000 0.8360
Ag: 0.5000 0.5000 0.3360
Br: 0.0000 0.0000 0.6462
Br: 0.0000 0.5000 0.1462
Br: 0.5000 0.0000 0.1462
Br: 0.5000 0.5000 0.6462

Output
calculated density = 11.61 g/cm3
Fermi-level density of states = 1.10 states/eV/atom
formation energy without anion corrections = 0.927 eV/atom
M_tot = 0.61 μB per formula unit

***

# 2
First-principles (GGA-PBEsol) data for a relaxed structure of Li2TaTc, as listed in Alexandria via LeMat-Bulk.

Cell lengths 3.4623, 4.3456, 7.3231 Å; angles 90.00, 90.00, 90.00 degrees
Positions (direct):
Li: 0.0000 0.0000 0.0000
Li: 0.0000 0.5000 0.2978
Li: 0.5000 0.0000 0.7978
Li: 0.5000 0.5000 0.5000
Ta: 0.0000 0.5000 0.7683
Ta: 0.5000 0.0000 0.2683
Tc: 0.0000 0.0000 0.5418
Tc: 0.5000 0.5000 0.0418

Output
calculated density = 8.83 g/cm3
formation enthalpy at 0 K = 1.61 eV per formula unit
Fermi-level density of states = 0.62 states/eV/atom
M_tot = 0.00 μB per formula unit

***

# 3
First-principles (GGA-PBEsol) data for a relaxed structure of ZnCl2, as listed in Alexandria via LeMat-Bulk.

Cell lengths 6.3574, 7.7862, 6.0944 Å; angles 90.00, 90.00, 90.00 degrees
Positions (direct):
Zn: 0.0772 0.1248 0.0000
Zn: 0.4228 0.6248 0.5000
Zn: 0.5772 0.3752 0.0000
Zn: 0.9228 0.8752 0.5000
Cl: 0.0682 0.1208 0.3726
Cl: 0.0856 0.6344 0.3796
Cl: 0.4144 0.1344 0.8796
Cl: 0.4318 0.6208 0.8726
Cl: 0.5682 0.3792 0.3726
Cl: 0.5856 0.8656 0.3796
Cl: 0.9144 0.3656 0.8796
Cl: 0.9318 0.8792 0.8726

Output
calculated density = 3.00 g/cm3
Fermi-level density of states = 0.00 states/eV/atom
formation energy without anion corrections = -1.107 eV/atom
M_tot = 0.00 μB per formula unit

***

# 4
First-principles (GGA-PBEsol) data for a relaxed structure of Ag2HgI4, as listed in Alexandria via LeMat-Bulk.

Cell lengths 6.3216, 6.3216, 6.2681 Å; angles 90.00, 90.00, 90.00 degrees
Positions (direct):
Ag: 0.0000 0.5000 0.0000
Ag: 0.5000 0.0000 0.0000
Hg: 0.0000 0.0000 0.5000
I: 0.2680 0.2680 0.2629
I: 0.2680 0.7320 0.7371
I: 0.7320 0.2680 0.7371
I: 0.7320 0.7320 0.2629

Output
calculated density = 6.12 g/cm3
formation energy without anion corrections = -0.229 eV/atom
M_tot = 0.00 μB per formula unit

***

# 5
First-principles (GGA-PBEsol) data for a relaxed structure of NaSrZr2Ga, as listed in Alexandria via LeMat-Bulk.

Cell lengths 5.1150, 5.1150, 4.9484 Å; angles 90.00, 90.00, 90.00 degrees
Positions (direct):
Na: 0.0000 0.0000 0.0000
Sr: 0.5000 0.5000 0.5000
Zr: 0.0000 0.5000 0.0000
Zr: 0.5000 0.0000 0.0000
Ga: 0.0000 0.0000 0.5000

Output
calculated density = 4.65 g/cm3
formation enthalpy at 0 K = 5.30 eV per formula unit
Fermi-level density of states = 1.10 states/eV/atom
M_tot = 0.01 μB per formula unit

***

# 6
First-principles (GGA-PBEsol) data for a relaxed structure of Nb3S4, as listed in Alexandria via LeMat-Bulk.

Cell lengths 3.2729, 3.2729, 12.6753 Å; angles 90.00, 90.00, 120.00 degrees
Positions (direct):
Nb: 0.0000 0.0000 0.0000
Nb: 0.0000 0.0000 0.2607
Nb: 0.0000 0.0000 0.7393
S: 0.3333 0.6667 0.6150
S: 0.3333 0.6667 0.8682
S: 0.6667 0.3333 0.1318
S: 0.6667 0.3333 0.3850

Output
calculated density = 5.75 g/cm3
Fermi-level density of states = 0.37 states/eV/atom
formation energy without anion corrections = -1.156 eV/atom
M_tot = 0.00 μB per formula unit

***

# 7
First-principles (GGA-PBEsol) data for a relaxed structure of LaIrRu2, as listed in Alexandria via LeMat-Bulk.

Cell lengths 2.8728, 4.7033, 10.0226 Å; angles 90.00, 90.00, 90.00 degrees
Positions (direct):
La: 0.0000 0.0000 0.0000
La: 0.5000 0.5000 0.5000
Ir: 0.0000 0.5000 0.2236
Ir: 0.5000 0.0000 0.7236
Ru: 0.0000 0.0000 0.4962
Ru: 0.0000 0.5000 0.7775
Ru: 0.5000 0.0000 0.2775
Ru: 0.5000 0.5000 0.9962

Output
calculated density = 13.08 g/cm3
formation enthalpy at 0 K = 1.10 eV per formula unit
Fermi-level density of states = 1.08 states/eV/atom
M_tot = 0.00 μB per formula unit

***

# 8
First-principles (GGA-PBEsol) data for a relaxed structure of AlSi2TcSb, as listed in Alexandria via LeMat-Bulk.

Cell lengths 4.6068, 4.6068, 4.6282 Å; angles 90.00, 90.00, 90.00 degrees
Positions (direct):
Al: 0.0000 0.0000 0.0000
Si: 0.0000 0.5000 0.0000
Si: 0.5000 0.0000 0.0000
Tc: 0.0000 0.0000 0.5000
Sb: 0.5000 0.5000 0.5000

Output
calculated density = 5.12 g/cm3
Fermi-level density of states = 0.91 states/eV/atom
formation energy without anion corrections = 1.102 eV/atom
M_tot = 0.01 μB per formula unit

***

# 9
First-principles (GGA-PBEsol) data for a relaxed structure of CoReN2, as listed in Alexandria via LeMat-Bulk.

Cell lengths 4.4298, 4.4298, 8.6772 Å; angles 90.00, 90.00, 90.00 degrees
Positions (direct):
Co: 0.0000 0.0000 0.0000
Co: 0.0000 0.5000 0.2500
Co: 0.5000 0.0000 0.7500
Co: 0.5000 0.5000 0.5000
Re: 0.0000 0.0000 0.5000
Re: 0.0000 0.5000 0.7500
Re: 0.5000 0.0000 0.2500
Re: 0.5000 0.5000 0.0000
N: 0.2359 0.2500 0.1250
N: 0.2500 0.7359 0.3750
N: 0.2500 0.7641 0.8750
N: 0.2641 0.2500 0.6250
N: 0.7359 0.7500 0.6250
N: 0.7500 0.2359 0.8750
N: 0.7500 0.2641 0.3750
N: 0.7641 0.7500 0.1250

Output
calculated density = 10.66 g/cm3
Fermi-level density of states = 0.69 states/eV/atom
formation energy without anion corrections = 0.026 eV/atom
M_tot = 0.00 μB per formula unit

***

# 10
First-principles (GGA-PBEsol) data for a relaxed structure of Li8Mn15NiO32, as listed in Alexandria via LeMat-Bulk.

Cell lengths 8.0645, 8.0645, 8.0645 Å; angles 89.72, 89.72, 89.72 degrees
Positions (direct):
Li: 0.1241 0.1241 0.1241
Li: 0.1269 0.6236 0.6236
Li: 0.3764 0.3764 0.8731
Li: 0.3764 0.8731 0.3764
Li: 0.6236 0.1269 0.6236
Li: 0.6236 0.6236 0.1269
Li: 0.8731 0.3764 0.3764
Li: 0.8759 0.8759 0.8759
Mn: 0.0000 0.0000 0.5000
Mn: 0.0000 0.2503 0.7497
Mn: 0.0000 0.5000 0.0000
Mn: 0.0000 0.7497 0.2503
Mn: 0.2493 0.2493 0.4980
Mn: 0.2493 0.4980 0.2493
Mn: 0.2503 0.0000 0.7497
Mn: 0.2503 0.7497 0.0000
Mn: 0.4980 0.2493 0.2493
Mn: 0.5000 0.0000 0.0000
Mn: 0.5020 0.7507 0.7507
Mn: 0.7497 0.0000 0.2503
Mn: 0.7497 0.2503 0.0000
Mn: 0.7507 0.5020 0.7507
Mn: 0.7507 0.7507 0.5020
Ni: 0.5000 0.5000 0.5000
O: 0.0113 0.2361 0.5128
O: 0.0113 0.5128 0.2361
O: 0.0130 0.0130 0.7373
O: 0.0130 0.7373 0.0130
O: 0.2361 0.0113 0.5128
O: 0.2361 0.5128 0.0113
O: 0.2372 0.2372 0.7351
O: 0.2372 0.7351 0.2372
O: 0.2504 0.4822 0.4822
O: 0.2603 0.2603 0.2603
O: 0.2627 0.9870 0.9870
O: 0.2649 0.7628 0.7628
O: 0.4822 0.2504 0.4822
O: 0.4822 0.4822 0.2504
O: 0.4872 0.7639 0.9887
O: 0.4872 0.9887 0.7639
O: 0.5128 0.0113 0.2361
O: 0.5128 0.2361 0.0113
O: 0.5178 0.5178 0.7496
O: 0.5178 0.7496 0.5178
O: 0.7351 0.2372 0.2372
O: 0.7373 0.0130 0.0130
O: 0.7397 0.7397 0.7397
O: 0.7496 0.5178 0.5178
O: 0.7628 0.2649 0.7628
O: 0.7628 0.7628 0.2649
O: 0.7639 0.4872 0.9887
O: 0.7639 0.9887 0.4872
O: 0.9870 0.2627 0.9870
O: 0.9870 0.9870 0.2627
O: 0.9887 0.4872 0.7639
O: 0.9887 0.7639 0.4872

Output
calculated density = 4.59 g/cm3
Fermi-level density of states = 0.21 states/eV/atom
formation energy without anion corrections = -1.811 eV/atom
M_tot = 41.00 μB per formula unit

***

# 11
First-principles (GGA-PBEsol) data for a relaxed structure of In2Sn3S7, as listed in Alexandria via LeMat-Bulk.

Cell lengths 11.3184, 3.7666, 12.8529 Å; angles 90.00, 105.70, 90.00 degrees
Positions (direct):
In: 0.0120 0.2500 0.1235
In: 0.0274 0.7500 0.3868
In: 0.9726 0.2500 0.6132
In: 0.9880 0.7500 0.8765
Sn: 0.3170 0.2500 0.0042
Sn: 0.3287 0.2500 0.7215
Sn: 0.3919 0.2500 0.3859
Sn: 0.6081 0.7500 0.6141
Sn: 0.6713 0.7500 0.2785
Sn: 0.6830 0.7500 0.9958
S: 0.1162 0.2500 0.8200
S: 0.1214 0.7500 0.5902
S: 0.1419 0.7500 0.0658
S: 0.1545 0.2500 0.3258
S: 0.3768 0.7500 0.5263
S: 0.4014 0.7500 0.8817
S: 0.4121 0.7500 0.2590
S: 0.5879 0.2500 0.7410
S: 0.5986 0.2500 0.1183
S: 0.6232 0.2500 0.4737
S: 0.8455 0.7500 0.6742
S: 0.8581 0.2500 0.9342
S: 0.8786 0.2500 0.4098
S: 0.8838 0.7500 0.1800

Output
calculated density = 5.10 g/cm3
formation energy without anion corrections = -0.481 eV/atom
M_tot = 0.00 μB per formula unit

***

# 12
First-principles (GGA-PBEsol) data for a relaxed structure of Y2HgF2, as listed in Alexandria via LeMat-Bulk.

Cell lengths 3.6312, 3.6312, 13.4921 Å; angles 90.00, 90.00, 90.00 degrees
Positions (direct):
Y: 0.0000 0.0000 0.1377
Y: 0.0000 0.0000 0.8623
Y: 0.5000 0.5000 0.3623
Y: 0.5000 0.5000 0.6377
Hg: 0.0000 0.0000 0.5000
Hg: 0.5000 0.5000 0.0000
F: 0.0000 0.5000 0.2500
F: 0.0000 0.5000 0.7500
F: 0.5000 0.0000 0.2500
F: 0.5000 0.0000 0.7500

Output
calculated density = 7.77 g/cm3
Fermi-level density of states = 0.28 states/eV/atom
formation energy without anion corrections = -2.441 eV/atom
M_tot = 0.00 μB per formula unit

***

# 13
First-principles (GGA-PBEsol) data for a relaxed structure of Zr4Mn, as listed in Alexandria via LeMat-Bulk.

Cell lengths 7.7582, 7.7582, 3.2211 Å; angles 90.00, 90.00, 90.00 degrees
Positions (direct):
Zr: 0.0828 0.2703 0.0000
Zr: 0.2297 0.5828 0.5000
Zr: 0.2703 0.9172 0.0000
Zr: 0.4172 0.2297 0.5000
Zr: 0.5828 0.7703 0.5000
Zr: 0.7297 0.0828 0.0000
Zr: 0.7703 0.4172 0.5000
Zr: 0.9172 0.7297 0.0000
Mn: 0.0000 0.0000 0.5000
Mn: 0.5000 0.5000 0.0000

Output
calculated density = 7.19 g/cm3
formation enthalpy at 0 K = -0.06 eV per formula unit
Fermi-level density of states = 1.08 states/eV/atom
M_tot = 0.00 μB per formula unit

***

# 14
First-principles (GGA-PBEsol) data for a relaxed structure of LiPb3, as listed in Alexandria via LeMat-Bulk.

Cell lengths 11.1476, 3.5076, 5.6884 Å; angles 90.00, 102.50, 90.00 degrees
Positions (direct):
Li: 0.0000 0.0000 0.0000
Li: 0.5000 0.5000 0.0000
Pb: 0.0000 0.5000 0.5000
Pb: 0.2433 0.5000 0.2419
Pb: 0.2567 0.0000 0.7581
Pb: 0.5000 0.0000 0.5000
Pb: 0.7433 0.0000 0.2419
Pb: 0.7567 0.5000 0.7581

Output
calculated density = 9.61 g/cm3
formation enthalpy at 0 K = -0.44 eV per formula unit
Fermi-level density of states = 0.41 states/eV/atom
M_tot = 0.00 μB per formula unit

***

# 15
First-principles (GGA-PBEsol) data for a relaxed structure of Tl4CoIr, as listed in Alexandria via LeMat-Bulk.

Cell lengths 5.8404, 5.8404, 5.8404 Å; angles 60.00, 60.00, 60.00 degrees
Positions (direct):
Tl: 0.1248 0.1248 0.1248
Tl: 0.1248 0.1248 0.6257
Tl: 0.1248 0.6257 0.1248
Tl: 0.6257 0.1248 0.1248
Co: 0.5000 0.5000 0.5000
Ir: 0.7500 0.7500 0.7500

Output
calculated density = 12.60 g/cm3
formation enthalpy at 0 K = 8.04 eV per formula unit
Fermi-level density of states = 1.42 states/eV/atom
M_tot = 2.37 μB per formula unit

***

# 16
First-principles (GGA-PBEsol) data for a relaxed structure of Ti2GaN, as listed in Alexandria via LeMat-Bulk.

Cell lengths 2.9782, 2.9782, 13.2107 Å; angles 90.00, 90.00, 120.00 degrees
Positions (direct):
Ti: 0.3333 0.6667 0.0867
Ti: 0.3333 0.6667 0.4133
Ti: 0.6667 0.3333 0.5867
Ti: 0.6667 0.3333 0.9133
Ga: 0.3333 0.6667 0.7500
Ga: 0.6667 0.3333 0.2500
N: 0.0000 0.0000 0.0000
N: 0.0000 0.0000 0.5000

Output
calculated density = 5.87 g/cm3
Fermi-level density of states = 0.38 states/eV/atom
formation energy without anion corrections = -1.348 eV/atom
M_tot = 0.00 μB per formula unit

***

# 17
First-principles (GGA-PBEsol) data for a relaxed structure of CaBN3, as listed in Alexandria via LeMat-Bulk.

Cell lengths 4.5427, 4.5427, 4.5427 Å; angles 90.00, 90.00, 90.00 degrees
Positions (direct):
Ca: 0.0000 0.0000 0.0000
B: 0.5000 0.5000 0.5000
N: 0.0000 0.0000 0.5000
N: 0.0000 0.5000 0.0000
N: 0.5000 0.0000 0.0000

Output
calculated density = 1.65 g/cm3
Fermi-level density of states = 0.65 states/eV/atom
formation energy without anion corrections = 2.959 eV/atom
M_tot = 6.00 μB per formula unit

***

# 18
First-principles (GGA-PBEsol) data for a relaxed structure of Bi2Sb2Se, as listed in Alexandria via LeMat-Bulk.

Cell lengths 8.2682, 8.2682, 4.1791 Å; angles 90.00, 90.00, 90.00 degrees
Positions (direct):
Bi: 0.1713 0.3287 0.0000
Bi: 0.3287 0.8287 0.0000
Bi: 0.6713 0.1713 0.0000
Bi: 0.8287 0.6713 0.0000
Sb: 0.1354 0.6354 0.5000
Sb: 0.3646 0.1354 0.5000
Sb: 0.6354 0.8646 0.5000
Sb: 0.8646 0.3646 0.5000
Se: 0.0000 0.0000 0.0000
Se: 0.5000 0.5000 0.0000

Output
calculated density = 8.61 g/cm3
Fermi-level density of states = 0.80 states/eV/atom
formation energy without anion corrections = 0.152 eV/atom
M_tot = 0.00 μB per formula unit

***

# 19
First-principles (GGA-PBEsol) data for a relaxed structure of OsAu2Cl, as listed in Alexandria via LeMat-Bulk.

Cell lengths 5.0524, 5.0524, 2.6431 Å; angles 90.00, 90.00, 90.00 degrees
Positions (direct):
Os: 0.0000 0.0000 0.0000
Au: 0.0000 0.5000 0.5000
Au: 0.5000 0.0000 0.5000
Cl: 0.5000 0.5000 0.0000

Output
calculated density = 15.25 g/cm3
Fermi-level density of states = 1.33 states/eV/atom
formation energy without anion corrections = 0.925 eV/atom
M_tot = 0.64 μB per formula unit

***

# 20
First-principles (GGA-PBEsol) data for a relaxed structure of TeAsN2, as listed in Alexandria via LeMat-Bulk.

Cell lengths 5.3464, 5.3464, 8.5252 Å; angles 90.00, 90.00, 90.00 degrees
Positions (direct):
Te: 0.0000 0.0000 0.0000
Te: 0.0000 0.5000 0.2500
Te: 0.5000 0.0000 0.7500
Te: 0.5000 0.5000 0.5000
As: 0.0000 0.0000 0.5000
As: 0.0000 0.5000 0.7500
As: 0.5000 0.0000 0.2500
As: 0.5000 0.5000 0.0000
N: 0.1376 0.7500 0.6250
N: 0.2500 0.1376 0.3750
N: 0.2500 0.3624 0.8750
N: 0.3624 0.7500 0.1250
N: 0.6376 0.2500 0.1250
N: 0.7500 0.6376 0.8750
N: 0.7500 0.8624 0.3750
N: 0.8624 0.2500 0.6250

Output
calculated density = 6.28 g/cm3
Fermi-level density of states = 0.53 states/eV/atom
formation energy without anion corrections = 0.953 eV/atom
M_tot = 0.00 μB per formula unit